No. 1
An optimized crystal structure of BaAg3O4. Source: Alexandria, functional PBE.

Output
N(E_F) in states/eV/f.u.: 2.42
Total DFT energy (no corrections) in eV per atom: -4.484

Structure (POSCAR):
```
BaAg3O4
1.0
6.115 0.000 0.000
0.000 12.135 0.000
0.000 0.000 3.897
Ba Ag O
2 6 8
direct
0.000 0.000 0.000 Ba
0.500 0.500 0.000 Ba
0.000 0.253 0.500 Ag
0.000 0.500 0.500 Ag
0.000 0.747 0.500 Ag
0.500 0.000 0.500 Ag
0.500 0.247 0.500 Ag
0.500 0.753 0.500 Ag
0.239 0.126 0.500 O
0.239 0.874 0.500 O
0.261 0.374 0.500 O
0.261 0.626 0.500 O
0.739 0.374 0.500 O
0.739 0.626 0.500 O
0.761 0.126 0.500 O
0.761 0.874 0.500 O
```

No. 2
An optimized crystal structure of Ba3Ag2O6. Source: Alexandria, functional PBE.

Output
N(E_F) in states/eV/f.u.: 4.37
Total DFT energy (no corrections) in eV per atom: -5.171

Structure (POSCAR):
```
Ba3Ag2O6
1.0
-2.110 2.110 10.869
2.110 -2.110 10.869
2.110 2.110 -10.869
Ba Ag O
3 2 6
direct
0.000 0.000 0.000 Ba
0.180 0.180 0.000 Ba
0.820 0.820 0.000 Ba
0.404 0.404 0.000 Ag
0.596 0.596 0.000 Ag
0.085 0.585 0.500 O
0.300 0.300 0.000 O
0.415 0.915 0.500 O
0.585 0.085 0.500 O
0.700 0.700 0.000 O
0.915 0.415 0.500 O
```

No. 3
An optimized crystal structure of BaAg3O3. Source: Alexandria, functional PBE.

Output
N(E_F) in states/eV/f.u.: 6.52
Total DFT energy (no corrections) in eV per atom: -4.266

Structure (POSCAR):
```
BaAg3O3
1.0
3.275 1.891 6.803
-3.275 1.891 6.803
0.000 -3.782 6.803
Ba Ag O
2 6 6
direct
0.167 0.167 0.167 Ba
0.833 0.833 0.833 Ba
0.135 0.645 0.380 Ag
0.355 0.620 0.865 Ag
0.380 0.135 0.645 Ag
0.620 0.865 0.355 Ag
0.645 0.380 0.135 Ag
0.865 0.355 0.620 Ag
0.032 0.416 0.789 O
0.211 0.968 0.584 O
0.416 0.789 0.032 O
0.584 0.211 0.968 O
0.789 0.032 0.416 O
0.968 0.584 0.211 O
```

No. 4
An optimized crystal structure of BaAg2O4. Source: Alexandria, functional PBE.

Output
Total DFT energy (no corrections) in eV per atom: -4.823

Structure (POSCAR):
```
BaAg2O4
1.0
-3.267 3.267 5.214
3.267 -3.267 5.214
3.267 3.267 -5.214
Ba Ag O
2 4 8
direct
0.375 0.125 0.250 Ba
0.625 0.875 0.750 Ba
0.000 0.000 0.500 Ag
0.000 0.500 0.000 Ag
0.000 0.500 0.500 Ag
0.500 0.500 0.000 Ag
0.029 0.156 0.339 O
0.191 0.529 0.373 O
0.318 0.691 0.161 O
0.344 0.182 0.873 O
0.656 0.818 0.127 O
0.682 0.309 0.839 O
0.809 0.471 0.627 O
0.971 0.844 0.661 O
```

No. 5
An optimized crystal structure of Ba3Ag2O. Source: Alexandria, functional PBE.

Output
N(E_F) in states/eV/f.u.: 4.06
Total DFT energy (no corrections) in eV per atom: -3.644

Structure (POSCAR):
```
Ba3Ag2O
1.0
6.249 -4.294 0.000
6.249 4.294 0.000
-1.646 0.000 7.724
Ba Ag O
6 4 2
direct
0.119 0.881 0.750 Ba
0.297 0.433 0.027 Ba
0.433 0.297 0.527 Ba
0.567 0.703 0.473 Ba
0.703 0.567 0.973 Ba
0.881 0.119 0.250 Ba
0.011 0.614 0.367 Ag
0.386 0.989 0.133 Ag
0.614 0.011 0.867 Ag
0.989 0.386 0.633 Ag
0.417 0.583 0.750 O
0.583 0.417 0.250 O
```

No. 6
An optimized crystal structure of Ba4Ag2O. Source: Alexandria, functional PBE.

Output
N(E_F) in states/eV/f.u.: 4.65
Energy above the lowest structure with this stoichiometry in meV per atom: 36
Total DFT energy (no corrections) in eV per atom: -3.425

Structure (POSCAR):
```
Ba4Ag2O
1.0
5.382 0.000 0.000
0.000 5.382 0.000
0.000 0.000 17.718
Ba Ag O
8 4 2
direct
0.000 0.000 0.175 Ba
0.000 0.000 0.825 Ba
0.000 0.500 0.000 Ba
0.000 0.500 0.500 Ba
0.500 0.000 0.000 Ba
0.500 0.000 0.500 Ba
0.500 0.500 0.325 Ba
0.500 0.500 0.675 Ba
0.000 0.000 0.368 Ag
0.000 0.000 0.632 Ag
0.500 0.500 0.132 Ag
0.500 0.500 0.868 Ag
0.000 0.000 0.000 O
0.500 0.500 0.500 O
```

No. 7
An optimized crystal structure of Ba2Ag2OsO6. Source: Alexandria, functional PBE.

Output
N(E_F) in states/eV/f.u.: 6.32
Total DFT energy (no corrections) in eV per atom: -5.960

Structure (POSCAR):
```
Ba2Ag2OsO6
1.0
3.228 -5.671 0.000
3.228 5.671 0.000
-1.033 0.000 6.348
Ba Ag Os O
2 2 1 6
direct
0.165 0.835 0.000 Ba
0.835 0.165 0.000 Ba
0.372 0.628 0.500 Ag
0.628 0.372 0.500 Ag
0.500 0.500 0.000 Os
0.227 0.227 0.842 O
0.276 0.535 0.174 O
0.465 0.724 0.826 O
0.535 0.276 0.174 O
0.724 0.465 0.826 O
0.773 0.773 0.158 O
```

No. 8
An optimized crystal structure of BaAg2Os2O7. Source: Alexandria, functional PBE.

Output
N(E_F) in states/eV/f.u.: 8.46
Total DFT energy (no corrections) in eV per atom: -6.366

Structure (POSCAR):
```
BaAg2Os2O7
1.0
-1.938 1.965 11.193
1.938 -1.965 11.193
1.938 1.965 -11.193
Ba Ag Os O
1 2 2 7
direct
0.000 0.000 0.000 Ba
0.231 0.731 0.500 Ag
0.769 0.269 0.500 Ag
0.404 0.404 0.000 Os
0.596 0.596 0.000 Os
0.092 0.592 0.500 O
0.319 0.319 0.000 O
0.408 0.908 0.500 O
0.500 0.500 0.000 O
0.592 0.092 0.500 O
0.681 0.681 0.000 O
0.908 0.408 0.500 O
```

No. 9
An optimized crystal structure of Ba2AgOsO. Source: Alexandria, functional PBE.

Output
N(E_F) in states/eV/f.u.: 5.41
Total DFT energy (no corrections) in eV per atom: -4.649

Structure (POSCAR):
```
Ba2AgOsO
1.0
5.438 0.000 0.000
0.000 5.438 0.000
0.000 0.000 4.318
Ba Ag Os O
2 1 1 1
direct
0.000 0.500 0.000 Ba
0.500 0.000 0.000 Ba
0.000 0.000 0.500 Ag
0.500 0.500 0.500 Os
0.000 0.000 0.000 O
```

No. 10
An optimized crystal structure of BaAgOsO6. Source: Alexandria, functional PBE.

Output
N(E_F) in states/eV/f.u.: 2.36
Total DFT energy (no corrections) in eV per atom: -6.237

Structure (POSCAR):
```
BaAgOsO6
1.0
5.389 0.000 0.000
-0.101 5.596 0.000
-0.194 -2.603 5.003
Ba Ag Os O
1 1 1 6
direct
0.000 0.000 0.000 Ba
0.494 0.316 0.686 Ag
0.490 0.643 0.342 Os
0.246 0.605 0.097 O
0.291 0.373 0.397 O
0.324 0.926 0.614 O
0.653 0.356 0.056 O
0.699 0.598 0.599 O
0.709 0.887 0.335 O
```

No. 11
An optimized crystal structure of BaAgPO2. Source: Alexandria, functional PBE.

Output
N(E_F) in states/eV/f.u.: 3.57
Energy above the lowest structure with this stoichiometry in meV per atom: 0
Total DFT energy (no corrections) in eV per atom: -4.358

Structure (POSCAR):
```
BaAgPO2
1.0
4.495 0.000 0.000
0.000 4.495 0.000
0.000 0.000 4.600
Ba Ag P O
1 1 1 2
direct
0.000 0.000 0.000 Ba
0.500 0.500 0.500 Ag
0.500 0.500 0.000 P
0.000 0.500 0.500 O
0.500 0.000 0.500 O
```

No. 12
An optimized crystal structure of BaAgPO4. Source: Alexandria, functional PBE.

Output
N(E_F) in states/eV/f.u.: 0.00
Total DFT energy (no corrections) in eV per atom: -6.070

Structure (POSCAR):
```
BaAgPO4
1.0
0.000 4.271 4.271
4.271 0.000 4.271
4.271 4.271 0.000
Ba Ag P O
1 1 1 4
direct
0.000 0.000 0.000 Ba
0.250 0.250 0.250 Ag
0.500 0.500 0.500 P
0.396 0.396 0.396 O
0.396 0.396 0.812 O
0.396 0.812 0.396 O
0.812 0.396 0.396 O
```

No. 13
An optimized crystal structure of BaAg2PO4. Source: Alexandria, functional PBE.

Output
N(E_F) in states/eV/f.u.: 1.68
Total DFT energy (no corrections) in eV per atom: -5.699

Structure (POSCAR):
```
BaAg2PO4
1.0
5.918 0.000 0.000
0.000 6.594 0.000
0.000 0.000 6.844
Ba Ag P O
2 4 2 8
direct
0.000 0.000 0.000 Ba
0.500 0.500 0.500 Ba
0.000 0.500 0.291 Ag
0.000 0.500 0.709 Ag
0.500 0.000 0.209 Ag
0.500 0.000 0.791 Ag
0.000 0.000 0.500 P
0.500 0.500 0.000 P
0.154 0.135 0.365 O
0.154 0.865 0.635 O
0.346 0.365 0.865 O
0.346 0.635 0.135 O
0.654 0.365 0.135 O
0.654 0.635 0.865 O
0.846 0.135 0.635 O
0.846 0.865 0.365 O
```

No. 14
An optimized crystal structure of Ba3AgP2O8. Source: Alexandria, functional PBE.

Output
N(E_F) in states/eV/f.u.: 2.86
Total DFT energy (no corrections) in eV per atom: -6.658

Structure (POSCAR):
```
Ba3AgP2O8
1.0
5.691 0.000 0.000
-2.846 4.929 0.000
0.000 0.000 9.060
Ba Ag P O
3 1 2 8
direct
0.000 0.000 0.000 Ba
0.333 0.667 0.717 Ba
0.667 0.333 0.283 Ba
0.000 0.000 0.500 Ag
0.333 0.667 0.173 P
0.667 0.333 0.827 P
0.184 0.369 0.232 O
0.184 0.816 0.232 O
0.333 0.667 0.002 O
0.369 0.184 0.768 O
0.631 0.816 0.232 O
0.667 0.333 0.998 O
0.816 0.184 0.768 O
0.816 0.631 0.768 O
```

No. 15
An optimized crystal structure of BaAgPO2. Source: Alexandria, functional PBE.

Output
N(E_F) in states/eV/f.u.: 2.55
Energy above the lowest structure with this stoichiometry in meV per atom: 628
Total DFT energy (no corrections) in eV per atom: -3.729

Structure (POSCAR):
```
BaAgPO2
1.0
4.410 0.000 0.000
0.000 4.410 0.000
0.000 0.000 7.394
Ba Ag P O
1 1 1 2
direct
0.000 0.000 0.000 Ba
0.500 0.500 0.500 Ag
0.000 0.000 0.500 P
0.000 0.500 0.000 O
0.500 0.000 0.000 O
```

No. 16
An optimized crystal structure of BaAgP2O. Source: Alexandria, functional PBE.

Output
N(E_F) in states/eV/f.u.: 3.60
Energy above the lowest structure with this stoichiometry in meV per atom: 0
Total DFT energy (no corrections) in eV per atom: -4.085

Structure (POSCAR):
```
BaAgP2O
1.0
4.847 0.000 0.000
0.000 4.847 0.000
0.000 0.000 4.668
Ba Ag P O
1 1 2 1
direct
0.000 0.000 0.000 Ba
0.500 0.500 0.500 Ag
0.000 0.500 0.500 P
0.500 0.000 0.500 P
0.500 0.500 0.000 O
```

No. 17
An optimized crystal structure of BaAgP2O. Source: Alexandria, functional PBE.

Output
N(E_F) in states/eV/f.u.: 2.52
Energy above the lowest structure with this stoichiometry in meV per atom: 877
Total DFT energy (no corrections) in eV per atom: -3.208

Structure (POSCAR):
```
BaAgP2O
1.0
6.310 0.000 0.000
0.000 6.310 0.000
0.000 0.000 4.531
Ba Ag P O
1 1 2 1
direct
0.000 0.000 0.000 Ba
0.500 0.500 0.500 Ag
0.000 0.500 0.000 P
0.500 0.000 0.000 P
0.000 0.000 0.500 O
```

No. 18
An optimized crystal structure of BaPaAgO5. Source: Alexandria, functional PBE.

Output
N(E_F) in states/eV/f.u.: 2.47
Total DFT energy (no corrections) in eV per atom: -7.099

Structure (POSCAR):
```
BaPaAgO5
1.0
3.324 -5.319 0.000
3.324 5.319 0.000
-2.386 0.000 7.819
Ba Pa Ag O
2 2 2 10
direct
0.177 0.823 0.750 Ba
0.823 0.177 0.250 Ba
0.500 0.500 0.000 Pa
0.500 0.500 0.500 Pa
0.168 0.832 0.250 Ag
0.832 0.168 0.750 Ag
0.135 0.202 0.927 O
0.202 0.135 0.427 O
0.260 0.651 0.422 O
0.349 0.740 0.078 O
0.429 0.571 0.750 O
0.571 0.429 0.250 O
0.651 0.260 0.922 O
0.740 0.349 0.578 O
0.798 0.865 0.573 O
0.865 0.798 0.073 O
```

No. 19
An optimized crystal structure of BaPa2Ag2O7. Source: Alexandria, functional PBE.

Output
Total DFT energy (no corrections) in eV per atom: -7.714

Structure (POSCAR):
```
BaPa2Ag2O7
1.0
-2.185 2.187 10.836
2.185 -2.187 10.836
2.185 2.187 -10.836
Ba Pa Ag O
1 2 2 7
direct
0.000 0.000 0.000 Ba
0.396 0.396 0.000 Pa
0.604 0.604 0.000 Pa
0.234 0.734 0.500 Ag
0.766 0.266 0.500 Ag
0.089 0.589 0.500 O
0.298 0.298 0.000 O
0.410 0.910 0.500 O
0.500 0.500 0.000 O
0.590 0.090 0.500 O
0.702 0.702 0.000 O
0.911 0.411 0.500 O
```

No. 20
An optimized crystal structure of BaPaAgO4. Source: Alexandria, functional PBE.

Output
N(E_F) in states/eV/f.u.: 0.00
Total DFT energy (no corrections) in eV per atom: -7.425

Structure (POSCAR):
```
BaPaAgO4
1.0
-3.592 3.623 5.213
3.592 -3.623 5.213
3.592 3.623 -5.213
Ba Pa Ag O
2 2 2 8
direct
0.350 0.100 0.250 Ba
0.650 0.900 0.750 Ba
0.000 0.000 0.500 Pa
0.000 0.500 0.000 Pa
0.000 0.500 0.500 Ag
0.500 0.500 0.000 Ag
0.167 0.227 0.939 O
0.200 0.230 0.530 O
0.200 0.670 0.970 O
0.212 0.773 0.439 O
0.788 0.227 0.561 O
0.800 0.330 0.030 O
0.800 0.770 0.470 O
0.833 0.773 0.061 O
```

No. 21
An optimized crystal structure of Ba3PaAg2O9. Source: Alexandria, functional PBE.

Output
N(E_F) in states/eV/f.u.: 5.70
Total DFT energy (no corrections) in eV per atom: -6.346

Structure (POSCAR):
```
Ba3PaAg2O9
1.0
6.032 0.000 0.000
-3.016 5.224 0.000
0.000 0.000 7.510
Ba Pa Ag O
3 1 2 9
direct
0.000 0.000 0.000 Ba
0.333 0.667 0.704 Ba
0.667 0.333 0.296 Ba
0.000 0.000 0.500 Pa
0.333 0.667 0.166 Ag
0.667 0.333 0.834 Ag
0.000 0.500 0.000 O
0.164 0.327 0.331 O
0.164 0.836 0.331 O
0.327 0.164 0.669 O
0.500 0.000 0.000 O
0.500 0.500 0.000 O
0.673 0.836 0.331 O
0.836 0.164 0.669 O
0.836 0.673 0.669 O
```

No. 22
An optimized crystal structure of Ba4AgPb3O12. Source: Alexandria, functional PBE.

Output
N(E_F) in states/eV/f.u.: 5.84
Total DFT energy (no corrections) in eV per atom: -5.526

Structure (POSCAR):
```
Ba4AgPb3O12
1.0
-4.316 4.316 4.316
4.316 -4.316 4.316
4.316 4.316 -4.316
Ba Ag Pb O
4 1 3 12
direct
0.000 0.000 0.500 Ba
0.000 0.500 0.000 Ba
0.500 0.000 0.000 Ba
0.500 0.500 0.500 Ba
0.000 0.000 0.000 Ag
0.000 0.500 0.500 Pb
0.500 0.000 0.500 Pb
0.500 0.500 0.000 Pb
0.000 0.248 0.248 O
0.000 0.752 0.752 O
0.248 0.000 0.248 O
0.248 0.248 0.000 O
0.250 0.500 0.750 O
0.250 0.750 0.500 O
0.500 0.250 0.750 O
0.500 0.750 0.250 O
0.750 0.250 0.500 O
0.750 0.500 0.250 O
0.752 0.000 0.752 O
0.752 0.752 0.000 O
```